Material: Na10Se4S
Method: DFT, PBE
State: optimized geometry

Computed properties:
As for the total moment: 0.0 Bohr magnetons per cell. The formation energy from raw total energies is -1065 meV/atom.

CIF file:
```
data_Na10Se4S
_chemical_formula_sum 'Na20 Se8 S2'
_cell_length_a 10.730
_cell_length_b 10.730
_cell_length_c 6.791
_cell_angle_alpha 90.00
_cell_angle_beta 90.00
_cell_angle_gamma 90.00
_space_group_name_H-M_alt 'I 4/m'
_space_group_IT_number 87
_space_group_name_Hall '-I 4'
loop_
_atom_site_label
_atom_site_type_symbol
_atom_site_fract_x
_atom_site_fract_y
_atom_site_fract_z
Na1 Na 0.000 0.500 0.250
Na2 Na 0.098 0.196 0.245
Se1 Se 0.100 0.701 0.500
S1 S 0.000 0.000 0.000
```



Material: Na2Se3S
Method: DFT, PBE
State: optimized geometry

Computed properties:
As for the total moment: 0.0 Bohr magnetons per cell. The formation energy from raw total energies is -478 meV/atom.

CIF file:
```
data_Na2Se3S
_chemical_formula_sum 'Na8 Se12 S4'
_cell_length_a 12.715
_cell_length_b 5.864
_cell_length_c 9.314
_cell_angle_alpha 90.00
_cell_angle_beta 116.80
_cell_angle_gamma 90.00
_space_group_name_H-M_alt 'C 1 2/c 1'
_space_group_IT_number 15
_space_group_name_Hall '-C 2yc'
loop_
_atom_site_label
_atom_site_type_symbol
_atom_site_fract_x
_atom_site_fract_y
_atom_site_fract_z
Na1 Na 0.151 0.245 0.101
Se1 Se 0.000 0.294 0.750
Se2 Se 0.172 0.253 0.542
S1 S 0.000 0.323 0.250
```



Copy entry 2 word for word.
Material: Na2Se3S
Method: DFT, PBE
State: optimized geometry

Computed properties:
As for the total moment: 0.0 Bohr magnetons per cell. The formation energy from raw total energies is -478 meV/atom.

CIF file:
```
data_Na2Se3S
_chemical_formula_sum 'Na8 Se12 S4'
_cell_length_a 12.715
_cell_length_b 5.864
_cell_length_c 9.314
_cell_angle_alpha 90.00
_cell_angle_beta 116.80
_cell_angle_gamma 90.00
_space_group_name_H-M_alt 'C 1 2/c 1'
_space_group_IT_number 15
_space_group_name_Hall '-C 2yc'
loop_
_atom_site_label
_atom_site_type_symbol
_atom_site_fract_x
_atom_site_fract_y
_atom_site_fract_z
Na1 Na 0.151 0.245 0.101
Se1 Se 0.000 0.294 0.750
Se2 Se 0.172 0.253 0.542
S1 S 0.000 0.323 0.250
```



> What is the formation energy from raw total energies in the first record?

-1065 meV/atom